(1)
The following is a DFT calculation (PBE) of a geometry-optimized CoPtW2S structure.

Output
Formation energy from raw total energies in eV per atom: 2.28

```
data_CoPtW2S
_chemical_formula_sum 'Co1 Pt1 W2 S1'
_cell_length_a 4.846
_cell_length_b 4.846
_cell_length_c 4.599
_cell_angle_alpha 90.00
_cell_angle_beta 90.00
_cell_angle_gamma 90.00
_space_group_name_H-M_alt 'P 4/m m m'
_space_group_IT_number 123
_space_group_name_Hall '-P 4 2'
loop_
_atom_site_label
_atom_site_fract_x
_atom_site_fract_y
_atom_site_fract_z
Co1 0.000 0.000 0.000
Pt1 0.500 0.500 0.500
W1 0.000 0.500 0.500
S1 0.500 0.500 0.000
```


(2)
The following is a DFT calculation (PBE) of a geometry-optimized CoP2Se structure.

Output
Formation energy from raw total energies in eV per atom: -0.07

```
data_CoP2Se
_chemical_formula_sum 'Co2 P4 Se2'
_cell_length_a 6.858
_cell_length_b 2.724
_cell_length_c 7.547
_cell_angle_alpha 90.00
_cell_angle_beta 108.17
_cell_angle_gamma 90.00
_space_group_name_H-M_alt 'C 1 2/m 1'
_space_group_IT_number 12
loop_
_space_group_symop_operation_xyz
'x,y,z'
'-x,-y,-z'
'-x,y,-z'
'x,-y,z'
'x+1/2,y+1/2,z'
'-x+1/2,-y+1/2,-z'
'-x+1/2,y+1/2,-z'
'x+1/2,-y+1/2,z'
loop_
_atom_site_label
_atom_site_fract_x
_atom_site_fract_y
_atom_site_fract_z
Co1 0.000 0.000 0.000
P1 0.154 0.500 0.843
Se1 0.000 0.500 0.500
```


(3)
The following is a DFT calculation (PBE) of a geometry-optimized Mg3RePt12 structure.

Output
DFT formation energy in eV/f.u.: -7.5

```
data_Mg3RePt12
_chemical_formula_sum 'Mg3 Re1 Pt12'
_cell_length_a 3.949
_cell_length_b 3.949
_cell_length_c 15.904
_cell_angle_alpha 90.00
_cell_angle_beta 90.00
_cell_angle_gamma 90.00
_space_group_name_H-M_alt 'P 4/m m m'
_space_group_IT_number 123
_space_group_name_Hall '-P 4 2'
loop_
_atom_site_label
_atom_site_fract_x
_atom_site_fract_y
_atom_site_fract_z
Mg1 0.000 0.000 0.000
Mg2 0.000 0.000 0.247
Re1 0.000 0.000 0.500
Pt1 0.000 0.500 0.125
Pt2 0.000 0.500 0.379
Pt3 0.500 0.500 0.000
Pt4 0.500 0.500 0.251
Pt5 0.500 0.500 0.500
```


(4)
The following is a DFT calculation (PBE) of a geometry-optimized Ti3AlH structure.

Output
Electronic total energy in eV per atom: -5.337

```
data_Ti3AlH
_chemical_formula_sum 'Ti12 Al4 H4'
_cell_length_a 4.570
_cell_length_b 4.570
_cell_length_c 19.777
_cell_angle_alpha 90.00
_cell_angle_beta 90.00
_cell_angle_gamma 90.00
_space_group_name_H-M_alt 'I -4 m 2'
_space_group_IT_number 119
_space_group_name_Hall 'I -4 -2'
loop_
_atom_site_label
_atom_site_fract_x
_atom_site_fract_y
_atom_site_fract_z
Ti1 0.000 0.000 0.202
Ti2 0.000 0.247 0.633
Al1 0.000 0.000 0.500
Al2 0.000 0.500 0.750
H1 0.000 0.500 0.150
```


(5)
The following is a DFT calculation (PBE) of a geometry-optimized La2CeNd3Sm6 structure.

Output
DFT formation energy in eV/f.u.: 0.4

```
data_La2CeNd3Sm6
_chemical_formula_sum 'La4 Ce2 Nd6 Sm12'
_cell_length_a 6.340
_cell_length_b 10.993
_cell_length_c 12.060
_cell_angle_alpha 90.00
_cell_angle_beta 100.17
_cell_angle_gamma 90.00
_space_group_name_H-M_alt 'C 1 2/m 1'
_space_group_IT_number 12
loop_
_space_group_symop_operation_xyz
'x,y,z'
'-x,-y,-z'
'-x,y,-z'
'x,-y,z'
'x+1/2,y+1/2,z'
'-x+1/2,-y+1/2,-z'
'-x+1/2,y+1/2,-z'
'x+1/2,-y+1/2,z'
loop_
_atom_site_label
_atom_site_fract_x
_atom_site_fract_y
_atom_site_fract_z
La1 0.000 0.166 0.000
Ce1 0.000 0.500 0.000
Nd1 0.000 0.000 0.500
Nd2 0.000 0.333 0.500
Sm1 0.247 0.500 0.751
Sm2 0.248 0.335 0.249
```


(6)
The following is a DFT calculation (PBE) of a geometry-optimized Zr3Al8Rh4 structure.

Output
DFT formation energy in eV/f.u.: -12.6

```
data_Zr3Al8Rh4
_chemical_formula_sum 'Zr24 Al64 Rh32'
_cell_length_a 12.442
_cell_length_b 12.442
_cell_length_c 12.442
_cell_angle_alpha 90.00
_cell_angle_beta 90.00
_cell_angle_gamma 90.00
_space_group_name_H-M_alt 'F m -3 m'
_space_group_IT_number 225
_space_group_name_Hall '-F 4 2 3'
loop_
_atom_site_label
_atom_site_fract_x
_atom_site_fract_y
_atom_site_fract_z
Zr1 0.000 0.000 0.210
Al1 0.121 0.121 0.379
Al2 0.164 0.164 0.164
Rh1 0.000 0.000 0.000
Rh2 0.000 0.000 0.500
Rh3 0.000 0.250 0.250
```